(1)
{"formula": "Mg3Co3As4O16", "functional": "SCAN", "state": "single point on PBEsol structure", "space_group": "P2_1/c, No. 14", "raw_formation_energy_mev_per_atom": -1738, "rho_g_cm3": 4.3, "lattice": [[-4.484, 2.312, -0.461], [-0.519, -2.589, -7.940], [-6.641, -11.480, 7.030]], "species": ["Mg", "Mg", "Mg", "Mg", "Mg", "Mg", "Co", "Co", "Co", "Co", "Co", "Co", "As", "As", "As", "As", "As", "As", "As", "As", "O", "O", "O", "O", "O", "O", "O", "O", "O", "O", "O", "O", "O", "O", "O", "O", "O", "O", "O", "O", "O", "O", "O", "O", "O", "O", "O", "O", "O", "O", "O", "O"], "frac_coords": [[0.544, 0.474, 0.790], [0.044, 0.026, 0.710], [0.456, 0.526, 0.210], [0.956, 0.974, 0.290], [0.500, 0.500, 0.500], [0.000, 0.000, 0.000], [0.481, 0.164, 0.375], [0.519, 0.836, 0.625], [0.981, 0.336, 0.125], [0.019, 0.664, 0.875], [0.000, 0.000, 0.500], [0.500, 0.500, 0.000], [0.994, 0.603, 0.649], [0.486, 0.188, 0.603], [0.986, 0.312, 0.897], [0.014, 0.688, 0.103], [0.006, 0.397, 0.351], [0.514, 0.812, 0.397], [0.506, 0.103, 0.149], [0.494, 0.897, 0.851], [0.411, 0.946, 0.747], [0.921, 0.238, 0.993], [0.384, 0.305, 0.699], [0.385, 0.697, 0.844], [0.616, 0.695, 0.301], [0.089, 0.446, 0.247], [0.884, 0.195, 0.801], [0.714, 0.594, 0.108], [0.672, 0.969, 0.073], [0.589, 0.054, 0.253], [0.115, 0.197, 0.344], [0.286, 0.406, 0.892], [0.277, 0.015, 0.591], [0.328, 0.031, 0.927], [0.670, 0.385, 0.371], [0.170, 0.115, 0.129], [0.777, 0.485, 0.909], [0.116, 0.805, 0.199], [0.172, 0.531, 0.427], [0.214, 0.906, 0.392], [0.830, 0.885, 0.871], [0.330, 0.615, 0.629], [0.079, 0.762, 0.007], [0.421, 0.262, 0.507], [0.723, 0.985, 0.409], [0.911, 0.554, 0.753], [0.615, 0.303, 0.156], [0.828, 0.469, 0.573], [0.579, 0.738, 0.493], [0.786, 0.094, 0.608], [0.223, 0.515, 0.091], [0.885, 0.803, 0.656]]}

(2)
{"formula": "InFe2W", "functional": "SCAN", "state": "single point on PBEsol structure", "e_form_mev_per_atom": 235, "space_group": "P4/mmm, No. 123", "dos_at_fermi_per_ev_fu": 2.2, "rho_g_cm3": 12.3, "lattice": [[-2.220, -2.000, 0.158], [0.297, -0.095, 2.976], [-4.099, 4.594, 0.556]], "species": ["Fe", "Fe", "In", "W"], "frac_coords": [[0.000, 0.000, 0.718], [0.000, 0.000, 0.282], [0.500, 0.500, 0.000], [0.500, 0.500, 0.500]]}

(3)
{"formula": "K2PAu", "functional": "SCAN", "state": "single point on PBEsol structure", "e_form_mev_per_atom": -571, "space_group": "Cm, No. 8", "rho_g_cm3": 4.5, "lattice": [[-2.906, 2.638, 1.990], [-4.056, -1.859, -3.458], [2.474, -3.741, 3.707]], "species": ["P", "K", "K", "Au"], "frac_coords": [[0.585, 0.585, 0.169], [0.966, 0.966, 0.932], [0.785, 0.286, 0.571], [0.164, 0.663, 0.327]]}

(4)
{"formula": "Cs2KScCl6", "functional": "SCAN", "state": "single point on PBEsol structure", "space_group": "Fm-3m, No. 225", "dos_at_fermi_per_ev_fu": 0.0, "raw_formation_energy_mev_per_atom": -2353, "rho_g_cm3": 3.0, "lattice": [[7.639, 0.000, 0.000], [3.819, 6.615, 0.000], [3.819, 2.205, 6.237]], "species": ["Cs", "Cs", "K", "Sc", "Cl", "Cl", "Cl", "Cl", "Cl", "Cl"], "frac_coords": [[0.750, 0.750, 0.750], [0.250, 0.250, 0.250], [0.500, 0.500, 0.500], [0.000, 0.000, 0.000], [0.772, 0.228, 0.228], [0.772, 0.772, 0.228], [0.228, 0.772, 0.772], [0.772, 0.228, 0.772], [0.228, 0.772, 0.228], [0.228, 0.228, 0.772]]}

(5)
{"formula": "RbBa2I2", "functional": "SCAN", "state": "single point on PBEsol structure", "space_group": "I4/mmm, No. 139", "dos_at_fermi_per_ev_fu": 1.8, "raw_formation_energy_mev_per_atom": -1079, "rho_g_cm3": 3.6, "lattice": [[5.970, 0.000, 0.000], [0.000, 5.970, 0.000], [-2.985, -2.985, 7.984]], "species": ["I", "I", "Ba", "Ba", "Rb"], "frac_coords": [[0.250, 0.750, 0.500], [0.750, 0.250, 0.500], [0.362, 0.362, 0.724], [0.638, 0.638, 0.276], [0.000, 0.000, 0.000]]}

(6)
{"formula": "LiSn2W", "functional": "SCAN", "state": "single point on PBEsol structure", "e_form_mev_per_atom": 412, "space_group": "Fm-3m, No. 225", "dos_at_fermi_per_ev_fu": 2.6, "rho_g_cm3": 9.7, "lattice": [[4.695, 0.000, 0.000], [2.347, 4.066, 0.000], [2.347, 1.355, 3.833]], "species": ["Sn", "Sn", "W", "Li"], "frac_coords": [[0.250, 0.250, 0.250], [0.750, 0.750, 0.750], [0.500, 0.500, 0.500], [0.000, 0.000, 0.000]]}

(7)
{"formula": "CdMo2As", "functional": "SCAN", "state": "single point on PBEsol structure", "e_form_mev_per_atom": 403, "space_group": "Cmmm, No. 65", "dos_at_fermi_per_ev_fu": 2.7, "e_above_lowest_polymorph_ev_per_atom": 0.250, "rho_g_cm3": 9.6, "lattice": [[2.844, -0.001, 0.000], [-1.042, 2.646, 0.000], [0.000, 0.000, 8.718]], "species": ["Mo", "Mo", "As", "Cd"], "frac_coords": [[0.000, 0.000, 0.277], [0.000, 0.000, 0.723], [0.500, 0.500, 0.500], [0.500, 0.500, 0.000]]}

(8)
{"formula": "MgH3Pb", "functional": "SCAN", "state": "single point on PBEsol structure", "e_tot_ev_per_cell": -88.0, "space_group": "Pm-3m, No. 221", "dos_at_fermi_per_ev_fu": 1.0, "rho_g_cm3": 5.0, "lattice": [[-1.017, -3.444, -2.310], [4.035, -0.274, -1.369], [0.956, -2.509, 3.320]], "species": ["Pb", "H", "H", "H", "Mg"], "frac_coords": [[0.000, 0.000, 0.000], [0.000, 0.500, 0.000], [0.000, 0.000, 0.500], [0.500, 0.000, 0.000], [0.500, 0.500, 0.500]]}

(9)
{"formula": "LiCdMo", "functional": "SCAN", "state": "single point on PBEsol structure", "e_form_mev_per_atom": 297, "space_group": "Fmm2, No. 42", "dos_at_fermi_per_ev_fu": 2.0, "e_above_lowest_polymorph_ev_per_atom": 0.000, "rho_g_cm3": 7.3, "lattice": [[2.673, 0.028, 0.000], [-0.726, 2.573, 0.000], [-0.974, -1.300, 7.117]], "species": ["Cd", "Li", "Mo"], "frac_coords": [[0.002, 0.002, 0.003], [0.669, 0.669, 0.337], [0.330, 0.330, 0.660]]}

(10)
{"formula": "InOs2Ru", "functional": "SCAN", "state": "single point on PBEsol structure", "e_form_mev_per_atom": 652, "space_group": "P2/m, No. 10", "dos_at_fermi_per_ev_fu": 3.7, "rho_g_cm3": 16.1, "lattice": [[2.805, 0.000, -0.047], [0.000, 4.700, 0.000], [-0.109, 0.000, 4.669]], "species": ["In", "Os", "Os", "Ru"], "frac_coords": [[0.000, 0.500, 0.500], [0.714, 0.000, 0.757], [0.286, 0.000, 0.243], [0.500, 0.500, 0.000]]}

(11)
{"formula": "AlSiAgBi2", "functional": "SCAN", "state": "single point on PBEsol structure", "space_group": "P4/mmm, No. 123", "dos_at_fermi_per_ev_fu": 2.8, "raw_formation_energy_mev_per_atom": 908, "rho_g_cm3": 6.9, "lattice": [[4.699, 0.000, 0.000], [0.000, 5.464, 0.000], [0.000, 0.000, 5.464]], "species": ["Si", "Bi", "Bi", "Ag", "Al"], "frac_coords": [[0.500, 0.500, 0.500], [0.000, 0.000, 0.500], [0.000, 0.500, 0.000], [0.000, 0.000, 0.000], [0.500, 0.000, 0.000]]}

(12)
{"formula": "K2InCl", "functional": "SCAN", "state": "single point on PBEsol structure", "space_group": "I-4m2, No. 119", "dos_at_fermi_per_ev_fu": 2.3, "raw_formation_energy_mev_per_atom": -685, "rho_g_cm3": 2.7, "lattice": [[4.726, 0.000, 0.000], [0.000, 4.726, 0.000], [-2.363, -2.363, 6.406]], "species": ["K", "K", "Cl", "In"], "frac_coords": [[0.000, 0.000, 0.000], [0.750, 0.250, 0.500], [0.500, 0.500, 0.000], [0.250, 0.750, 0.500]]}